Crystalline Nd8Er6Tm at its relaxed geometry, computed with PBE-GGA.

a = 9.831 Å, b = 9.831 Å, c = 8.230 Å
α = 53.33°, β = 53.33°, γ = 60.00°
Atoms (fractional coordinates):
Nd1 0.774 0.066 0.515
Er1 0.285 0.612 0.031
Tm1 0.000 0.000 0.000
Er2 0.388 0.929 0.969
Nd2 0.934 0.355 0.485
Nd3 0.645 0.774 0.515
Nd4 0.355 0.226 0.485
Nd5 0.066 0.645 0.515
Nd6 0.588 0.588 0.237
Er3 0.612 0.071 0.031
Nd7 0.412 0.412 0.763
Er4 0.071 0.285 0.031
Er5 0.929 0.715 0.969
Nd8 0.226 0.934 0.485
Er6 0.715 0.388 0.969

Mass density ... 7.7 g/cm³
Formation energy ... 0.174 eV per atom
Magnetization ... 0.0 μB/f.u.
Final energy ... -67.4 eV for the cell shown